[1]
Entry from Alexandria via LeMat-Bulk: an optimized crystal structure of Ho3Ni2Pt (PBE).

a = 11.428 Å, b = 3.991 Å, c = 11.260 Å
α = 90.00°, β = 90.00°, γ = 90.00°
Space group Pnma (No. 62)
Asymmetric unit:
Ho (0.054, 0.250, 0.122) [4 per cell]
Ho (0.122, 0.750, 0.564) [4 per cell]
Ho (0.205, 0.250, 0.816) [4 per cell]
Ni (0.006, 0.750, 0.302) [4 per cell]
Ni (0.181, 0.750, 0.998) [4 per cell]
Pt (0.124, 0.250, 0.375) [4 per cell]

magnetic moment	0.000	μB per cell
formation enthalpy at 0 K	-0.639	eV/atom
D(E_F)	12.47	states/eV/cell
mass density	10441	kg/m3

---

[2]
Entry from Alexandria via LeMat-Bulk: an optimized crystal structure of Tl2Co (PBE).

a = 3.237 Å, b = 3.237 Å, c = 24.757 Å
α = 90.00°, β = 90.00°, γ = 90.00°
Space group I4_1/amd (No. 141, origin choice 2)
Asymmetric unit:
Tl (0.000, 0.250, 0.309) [8 per cell]
Co (0.000, 0.250, 0.875) [4 per cell]

magnetic moment	3.449	μB per cell
formation enthalpy at 0 K	0.497	eV/atom
D(E_F)	13.53	states/eV/cell
mass density	11973	kg/m3

---

[3]
Entry from Alexandria via LeMat-Bulk: an optimized crystal structure of Ti5Ga4Cu (PBE).

a = 7.896 Å, b = 7.896 Å, c = 5.394 Å
α = 90.00°, β = 90.00°, γ = 90.00°
Space group I4 (No. 79)
Asymmetric unit:
Ti (0.000, 0.000, 0.000) [2 per cell]
Ti (0.069, 0.682, 0.217) [8 per cell]
Ga (0.097, 0.750, 0.710) [8 per cell]
Cu (0.000, 0.000, 0.459) [2 per cell]

magnetic moment	0.013	μB per cell
formation enthalpy at 0 K	-0.100	eV/atom
D(E_F)	18.97	states/eV/cell
ΔE to the lowest computed polymorph	292	meV per atom
mass density	5744	kg/m3

---

[4]
Entry from Alexandria via LeMat-Bulk: an optimized crystal structure of Dy4TmIn2 (PBE).

a = 9.019 Å, b = 9.019 Å, c = 5.324 Å
α = 90.00°, β = 90.00°, γ = 90.00°
Space group P4_2/mnm (No. 136)
Asymmetric unit:
Dy (0.076, 0.331, 0.000) [8 per cell]
Tm (0.000, 0.000, 0.500) [2 per cell]
In (0.244, 0.244, 0.500) [4 per cell]

magnetic moment	0.000	μB per cell
formation enthalpy at 0 K	-0.100	eV/atom
D(E_F)	12.46	states/eV/cell
ΔE to the lowest computed polymorph	32	meV per atom
mass density	8042	kg/m3